Computed, not measured: an optimized crystal structure of RbCuICl2 at the PBE level of DFT.

a b c (Å): 5.048 5.048 5.419
angles (deg): 90.00 90.00 90.00
Sites, in units of the cell vectors:
I 0.000 0.000 0.500
Cu 0.000 0.000 0.000
Rb 0.500 0.500 0.500
Cl 0.000 0.500 0.000
Cl 0.500 0.000 0.000

* DOS(E_F): 1.3 states/eV/f.u.
* final energy: -2.94 eV/atom
* uncorrected formation energy: -0.882 eV/atom
* symmetry: P4/mmm (123)

Computed, not measured: an optimized crystal structure of RbCuI2Cl at the PBE level of DFT.

a b c (Å): 5.126 9.607 5.126
angles (deg): 90.00 90.00 90.00
Sites, in units of the cell vectors:
I 0.000 0.000 0.500
I 0.500 0.000 0.000
Cu 0.000 0.000 0.000
Rb 0.000 0.500 0.000
Cl 0.500 0.500 0.500

* distance to the lowest polymorph of the same formula: 136 meV/atom
* DOS(E_F): 1.7 states/eV/f.u.
* final energy: -2.60 eV/atom
* uncorrected formation energy: -0.600 eV/atom
* symmetry: P4/mmm (123)

Computed, not measured: an optimized crystal structure of RbCuICl6 at the PBE level of DFT.

a b c (Å): 8.191 12.105 5.072
angles (deg): 105.24 101.12 42.48
Each line ends with the local moment (μB).
Sites, in units of the cell vectors:
Rb 0.105 0.949 0.003  0.00
Cu 0.654 0.672 0.501  0.48
I 0.324 0.338 0.499  0.00
Cl 0.953 0.403 0.254  0.06
Cl 0.382 0.948 0.591  0.14
Cl 0.626 0.318 0.769  0.00
Cl 0.954 0.642 0.749  0.06
Cl 0.378 0.672 0.411  0.14
Cl 0.624 0.058 0.222  0.00

* final energy: -2.64 eV/atom
* uncorrected formation energy: -0.678 eV/atom
* symmetry: P1 (1)

Computed, not measured: an optimized crystal structure of RbCuI2Cl at the PBE level of DFT.

a b c (Å): 5.652 5.652 4.924
angles (deg): 90.00 90.00 90.00
Sites, in units of the cell vectors:
I 0.000 0.500 0.000
I 0.500 0.000 0.000
Cu 0.000 0.000 0.000
Rb 0.500 0.500 0.500
Cl 0.000 0.000 0.500

* distance to the lowest polymorph of the same formula: 0 meV/atom
* DOS(E_F): 1.8 states/eV/f.u.
* final energy: -2.74 eV/atom
* uncorrected formation energy: -0.736 eV/atom
* symmetry: P4/mmm (123)

Computed, not measured: an optimized crystal structure of Cu4SI2Cl at the PBE level of DFT.

a b c (Å): 6.695 6.949 8.025
angles (deg): 90.00 90.00 90.00
Sites, in units of the cell vectors:
Cu 0.332 0.141 0.000
Cu 0.832 0.859 0.500
Cu 0.365 0.129 0.500
Cu 0.865 0.871 0.000
Cu 0.394 0.699 0.729
Cu 0.894 0.301 0.229
Cu 0.894 0.301 0.771
Cu 0.394 0.699 0.271
S 0.504 0.840 0.500
S 0.004 0.160 0.000
I 0.503 0.333 0.249
I 0.503 0.333 0.751
I 0.003 0.667 0.749
I 0.003 0.667 0.251
Cl 0.005 0.160 0.500
Cl 0.505 0.840 0.000

* DOS(E_F): 6.2 states/eV/f.u.
* final energy: -3.40 eV/atom
* uncorrected formation energy: -0.213 eV/atom
* symmetry: Pmn2_1 (31)

Computed, not measured: an optimized crystal structure of CuSb2ICl at the PBE level of DFT.

a b c (Å): 5.096 5.096 7.098
angles (deg): 90.00 90.00 90.00
Sites, in units of the cell vectors:
I 0.000 0.000 0.500
Sb 0.000 0.500 0.000
Sb 0.500 0.000 0.000
Cu 0.500 0.500 0.500
Cl 0.000 0.000 0.000

* distance to the lowest polymorph of the same formula: 676 meV/atom
* DOS(E_F): 4.9 states/eV/f.u.
* final energy: -2.17 eV/atom
* uncorrected formation energy: 0.981 eV/atom
* symmetry: P4/mmm (123)

Computed, not measured: an optimized crystal structure of CuSb2ICl at the PBE level of DFT.

a b c (Å): 5.143 5.143 5.345
angles (deg): 90.00 90.00 90.00
Sites, in units of the cell vectors:
I 0.000 0.000 0.500
Sb 0.000 0.500 0.000
Sb 0.500 0.000 0.000
Cu 0.000 0.000 0.000
Cl 0.500 0.500 0.500

* distance to the lowest polymorph of the same formula: 0 meV/atom
* DOS(E_F): 3.0 states/eV/f.u.
* final energy: -2.84 eV/atom
* uncorrected formation energy: 0.305 eV/atom
* symmetry: P4/mmm (123)

Computed, not measured: an optimized crystal structure of Sr2CuICl at the PBE level of DFT.

a b c (Å): 5.880 5.081 5.880
angles (deg): 90.00 90.00 90.00
Sites, in units of the cell vectors:
I 0.500 0.500 0.500
Sr 0.000 0.000 0.500
Sr 0.500 0.000 0.000
Cu 0.000 0.000 0.000
Cl 0.000 0.500 0.000

* DOS(E_F): 3.3 states/eV/f.u.
* final energy: -2.80 eV/atom
* uncorrected formation energy: -0.627 eV/atom
* symmetry: P4/mmm (123)

Computed, not measured: an optimized crystal structure of CuTeI2Cl at the PBE level of DFT.

a b c (Å): 5.282 5.282 5.281
angles (deg): 90.00 90.00 90.00
Sites, in units of the cell vectors:
I 0.000 0.500 0.000
I 0.500 0.000 0.000
Te 0.000 0.000 0.500
Cu 0.000 0.000 0.000
Cl 0.500 0.500 0.500

* distance to the lowest polymorph of the same formula: 0 meV/atom
* DOS(E_F): 5.4 states/eV/f.u.
* final energy: -2.14 eV/atom
* uncorrected formation energy: 0.293 eV/atom
* symmetry: P4/mmm (123)

Computed, not measured: an optimized crystal structure of CuTeI2Cl at the PBE level of DFT.

a b c (Å): 5.606 5.606 5.424
angles (deg): 90.00 90.00 90.00
Sites, in units of the cell vectors:
I 0.000 0.500 0.000
I 0.500 0.000 0.000
Te 0.000 0.000 0.500
Cu 0.500 0.500 0.500
Cl 0.000 0.000 0.000

* distance to the lowest polymorph of the same formula: 581 meV/atom
* DOS(E_F): 3.1 states/eV/f.u.
* final energy: -1.56 eV/atom
* uncorrected formation energy: 0.875 eV/atom
* symmetry: P4/mmm (123)

Computed, not measured: an optimized crystal structure of Tl3Cu2ICl9 at the PBE level of DFT.

a b c (Å): 7.142 7.142 9.107
angles (deg): 90.00 90.00 120.00
Sites, in units of the cell vectors:
Tl 0.333 0.667 0.720
Tl 0.000 0.000 0.000
Tl 0.667 0.333 0.280
Cu 0.333 0.667 0.155
Cu 0.667 0.333 0.845
I 0.000 0.000 0.500
Cl 0.822 0.178 0.691
Cl 0.822 0.644 0.691
Cl 0.356 0.178 0.691
Cl 0.644 0.822 0.309
Cl 0.178 0.356 0.309
Cl 0.178 0.822 0.309
Cl 0.500 0.000 0.000
Cl 0.000 0.500 0.000
Cl 0.500 0.500 0.000

* DOS(E_F): 4.1 states/eV/f.u.
* final energy: -2.81 eV/atom
* uncorrected formation energy: -0.580 eV/atom
* symmetry: P-3m1 (164)

Computed, not measured: an optimized crystal structure of TlCuICl2 at the PBE level of DFT.

a b c (Å): 4.908 4.908 5.523
angles (deg): 90.00 90.00 90.00
Sites, in units of the cell vectors:
I 0.000 0.000 0.500
Tl 0.500 0.500 0.500
Cu 0.000 0.000 0.000
Cl 0.000 0.500 0.000
Cl 0.500 0.000 0.000

* distance to the lowest polymorph of the same formula: 23 meV/atom
* DOS(E_F): 1.5 states/eV/f.u.
* final energy: -2.87 eV/atom
* uncorrected formation energy: -0.524 eV/atom
* symmetry: P4/mmm (123)

Computed, not measured: an optimized crystal structure of Tl2CuICl3 at the PBE level of DFT.

a b c (Å): 5.318 5.949 8.328
angles (deg): 110.93 108.62 90.00
Sites, in units of the cell vectors:
Tl 0.633 0.633 0.266
Tl 0.367 0.367 0.734
Cu 0.000 0.000 0.000
I 0.500 0.000 0.000
Cl 0.000 0.500 0.000
Cl 0.153 0.153 0.305
Cl 0.847 0.847 0.695

* DOS(E_F): 0.4 states/eV/f.u.
* final energy: -2.93 eV/atom
* uncorrected formation energy: -0.652 eV/atom
* symmetry: Immm (71)

Computed, not measured: an optimized crystal structure of TlCuI2Cl at the PBE level of DFT.

a b c (Å): 5.603 5.603 4.800
angles (deg): 90.00 90.00 90.00
Sites, in units of the cell vectors:
I 0.000 0.500 0.000
I 0.500 0.000 0.000
Tl 0.500 0.500 0.500
Cu 0.000 0.000 0.000
Cl 0.000 0.000 0.500

* DOS(E_F): 1.7 states/eV/f.u.
* final energy: -2.67 eV/atom
* uncorrected formation energy: -0.390 eV/atom
* symmetry: P4/mmm (123)

Computed, not measured: an optimized crystal structure of TlCuICl2 at the PBE level of DFT.

a b c (Å): 4.359 8.316 8.522
angles (deg): 90.00 90.00 105.19
Each line ends with the local moment (μB).
Sites, in units of the cell vectors:
Tl 0.706 0.413 0.750  0.00
Tl 0.294 0.587 0.250  0.00
Cu 0.000 0.000 0.000  0.10
Cu 0.000 0.000 0.500  0.10
I 0.493 0.985 0.750  0.06
I 0.507 0.015 0.250  0.06
Cl 0.137 0.274 0.992  0.02
Cl 0.863 0.726 0.008  0.02
Cl 0.137 0.274 0.508  0.02
Cl 0.863 0.726 0.492  0.02

* distance to the lowest polymorph of the same formula: 0 meV/atom
* DOS(E_F): 3.7 states/eV/f.u.
* final energy: -2.89 eV/atom
* uncorrected formation energy: -0.547 eV/atom
* symmetry: Cmcm (63)

Computed, not measured: an optimized crystal structure of TlCuICl6 at the PBE level of DFT.

a b c (Å): 9.076 7.208 6.576
angles (deg): 81.72 76.72 50.73
Each line ends with the local moment (μB).
Sites, in units of the cell vectors:
Tl 0.968 0.063 0.000  0.01
Cu 0.672 0.656 0.500  0.48
I 0.333 0.334 0.500  0.00
Cl 0.939 0.386 0.282  0.13
Cl 0.385 0.961 0.711  0.06
Cl 0.674 0.388 0.719  0.13
Cl 0.027 0.629 0.729  0.01
Cl 0.346 0.626 0.271  0.01
Cl 0.655 0.958 0.288  0.06

* final energy: -2.58 eV/atom
* uncorrected formation energy: -0.455 eV/atom
* symmetry: P1 (1)

Computed, not measured: an optimized crystal structure of V2CuICl at the PBE level of DFT.

a b c (Å): 4.677 4.665 4.677
angles (deg): 90.00 90.00 90.00
Each line ends with the local moment (μB).
Sites, in units of the cell vectors:
I 0.500 0.500 0.500  0.03
Cl 0.000 0.000 0.000  -0.01
Cu 0.000 0.500 0.000  0.06
V 0.000 0.000 0.500  2.66
V 0.500 0.000 0.000  2.54

* DOS(E_F): 6.5 states/eV/f.u.
* final energy: -4.31 eV/atom
* uncorrected formation energy: 0.838 eV/atom
* symmetry: P4/mmm (123)

Computed, not measured: an optimized crystal structure of InCuCl2 at the PBE level of DFT.

a b c (Å): 3.533 4.074 7.146
angles (deg): 86.37 90.00 90.00
Sites, in units of the cell vectors:
Cl 0.000 0.214 0.024
Cl 0.000 0.286 0.476
Cu 0.500 0.250 0.250
In 0.500 0.750 0.750

* distance to the lowest polymorph of the same formula: 83 meV/atom
* final energy: -3.14 eV/atom
* uncorrected formation energy: -0.510 eV/atom
* symmetry: P2/m (10)

Computed, not measured: an optimized crystal structure of InCu3Cl at the PBE level of DFT.

a b c (Å): 4.577 4.577 4.577
angles (deg): 90.00 90.00 90.00
Sites, in units of the cell vectors:
Cl 0.000 0.000 0.000
Cu 0.000 0.500 0.000
Cu 0.000 0.000 0.500
Cu 0.500 0.000 0.000
In 0.500 0.500 0.500

* distance to the lowest polymorph of the same formula: 0 meV/atom
* DOS(E_F): 3.2 states/eV/f.u.
* final energy: -2.76 eV/atom
* uncorrected formation energy: 0.615 eV/atom
* symmetry: Pm-3m (221)

Computed, not measured: an optimized crystal structure of InCuCl2 at the PBE level of DFT.

a b c (Å): 7.287 7.287 6.372
angles (deg): 55.13 55.13 90.00
Sites, in units of the cell vectors:
Cl 0.533 0.125 0.250
Cl 0.217 0.625 0.250
Cl 0.375 0.467 0.750
Cl 0.875 0.783 0.750
Cu 0.500 0.500 0.000
Cu 0.250 0.750 0.500
In 0.000 0.000 0.000
In 0.750 0.250 0.500

* distance to the lowest polymorph of the same formula: 12 meV/atom
* DOS(E_F): 0.0 states/eV/f.u.
* final energy: -3.21 eV/atom
* uncorrected formation energy: -0.581 eV/atom
* symmetry: I-42d (122)